# 1
PrDyHo5Tm2 after structural relaxation. Source: Alexandria via LeMat-Bulk, functional PBE.

Values from the calculation:
symmetry = Cmc2_1
energy relative to the elements = 0.167 eV/atom
mass density = 8.42 g/cm3
calculated volume = 578 Å³/cell
DOS(E_F) = 29.28 states/eV/cell
crystal system = orthorhombic
E = -4.4124 eV/atom

a = 10.274 Å, b = 10.274 Å, c = 10.483 Å
α = 90.00°, β = 90.00°, γ = 148.48°
Positions (direct):
Pr (0.084, 0.916, 0.500)
Pr (0.916, 0.084, 0.000)
Dy (0.301, 0.699, 0.064)
Dy (0.699, 0.301, 0.564)
Ho (0.022, 0.978, 0.787)
Ho (0.112, 0.888, 0.074)
Ho (0.202, 0.798, 0.761)
Ho (0.220, 0.780, 0.364)
Ho (0.483, 0.517, 0.075)
Ho (0.517, 0.483, 0.575)
Ho (0.780, 0.220, 0.864)
Ho (0.798, 0.202, 0.261)
Ho (0.888, 0.112, 0.574)
Ho (0.978, 0.022, 0.287)
Tm (0.387, 0.613, 0.370)
Tm (0.389, 0.611, 0.786)
Tm (0.611, 0.389, 0.286)
Tm (0.613, 0.387, 0.870)

# 2
Pr3DyHo2Tm6 after structural relaxation. Source: Alexandria via LeMat-Bulk, functional PBE.

Values from the calculation:
symmetry = C2/m
energy relative to the elements = 0.025 eV/atom
mass density = 8.43 g/cm3
calculated volume = 380 Å³/cell
DOS(E_F) = 15.52 states/eV/cell
crystal system = monoclinic
E = -4.5518 eV/atom

a = 6.169 Å, b = 6.169 Å, c = 11.704 Å
α = 95.03°, β = 95.03°, γ = 119.97°
Positions (direct):
Pr (0.000, 0.000, 0.000)
Pr (0.333, 0.667, 0.000)
Pr (0.667, 0.333, 0.000)
Dy (0.500, 0.500, 0.500)
Ho (0.167, 0.833, 0.500)
Ho (0.833, 0.167, 0.500)
Tm (0.085, 0.418, 0.255)
Tm (0.249, 0.249, 0.745)
Tm (0.418, 0.085, 0.255)
Tm (0.582, 0.915, 0.745)
Tm (0.751, 0.751, 0.255)
Tm (0.915, 0.582, 0.745)

# 3
PrDyHo2Tm5 after structural relaxation. Source: Alexandria via LeMat-Bulk, functional PBE.

Values from the calculation:
symmetry = Cmc2_1
energy relative to the elements = 0.166 eV/atom
mass density = 8.57 g/cm3
calculated volume = 572 Å³/cell
DOS(E_F) = 28.39 states/eV/cell
crystal system = orthorhombic
E = -4.3774 eV/atom

a = 10.210 Å, b = 10.210 Å, c = 10.484 Å
α = 90.00°, β = 90.00°, γ = 148.41°
Positions (direct):
Pr (0.083, 0.917, 0.500)
Pr (0.917, 0.083, 0.000)
Dy (0.300, 0.700, 0.061)
Dy (0.700, 0.300, 0.561)
Ho (0.387, 0.613, 0.368)
Ho (0.389, 0.611, 0.782)
Ho (0.611, 0.389, 0.282)
Ho (0.613, 0.387, 0.868)
Tm (0.022, 0.978, 0.784)
Tm (0.112, 0.888, 0.070)
Tm (0.201, 0.799, 0.760)
Tm (0.219, 0.781, 0.361)
Tm (0.482, 0.518, 0.074)
Tm (0.518, 0.482, 0.574)
Tm (0.781, 0.219, 0.861)
Tm (0.799, 0.201, 0.260)
Tm (0.888, 0.112, 0.570)
Tm (0.978, 0.022, 0.284)

# 4
Pr6Dy2Ho3Tm after structural relaxation. Source: Alexandria via LeMat-Bulk, functional PBE.

Values from the calculation:
symmetry = C2/m
energy relative to the elements = 0.012 eV/atom
mass density = 7.61 g/cm3
calculated volume = 400 Å³/cell
DOS(E_F) = 12.69 states/eV/cell
crystal system = monoclinic
E = -4.6615 eV/atom

a = 6.292 Å, b = 6.292 Å, c = 11.852 Å
α = 95.06°, β = 95.06°, γ = 119.99°
Positions (direct):
Pr (0.084, 0.416, 0.750)
Pr (0.250, 0.250, 0.250)
Pr (0.416, 0.084, 0.750)
Pr (0.584, 0.916, 0.250)
Pr (0.750, 0.750, 0.750)
Pr (0.916, 0.584, 0.250)
Dy (0.167, 0.833, 0.000)
Dy (0.833, 0.167, 0.000)
Ho (0.000, 0.000, 0.500)
Ho (0.333, 0.667, 0.500)
Ho (0.667, 0.333, 0.500)
Tm (0.500, 0.500, 0.000)

# 5
PrDy5HoTm2 after structural relaxation. Source: Alexandria via LeMat-Bulk, functional PBE.

Values from the calculation:
symmetry = Cmc2_1
energy relative to the elements = 0.165 eV/atom
mass density = 8.31 g/cm3
calculated volume = 582 Å³/cell
DOS(E_F) = 29.55 states/eV/cell
crystal system = orthorhombic
E = -4.4251 eV/atom

a = 10.304 Å, b = 10.304 Å, c = 10.491 Å
α = 90.00°, β = 90.00°, γ = 148.50°
Positions (direct):
Pr (0.084, 0.916, 0.500)
Pr (0.916, 0.084, 0.000)
Dy (0.022, 0.978, 0.787)
Dy (0.113, 0.887, 0.073)
Dy (0.202, 0.798, 0.760)
Dy (0.220, 0.780, 0.364)
Dy (0.483, 0.517, 0.074)
Dy (0.517, 0.483, 0.574)
Dy (0.780, 0.220, 0.864)
Dy (0.798, 0.202, 0.260)
Dy (0.887, 0.113, 0.573)
Dy (0.978, 0.022, 0.287)
Ho (0.301, 0.699, 0.063)
Ho (0.699, 0.301, 0.563)
Tm (0.386, 0.614, 0.369)
Tm (0.388, 0.612, 0.785)
Tm (0.612, 0.388, 0.285)
Tm (0.614, 0.386, 0.869)

# 6
PrDy2HoTm4 after structural relaxation. Source: Alexandria via LeMat-Bulk, functional PBE.

Values from the calculation:
symmetry = P-1
energy relative to the elements = 0.442 eV/atom
mass density = 8.31 g/cm3
calculated volume = 522 Å³/cell
DOS(E_F) = 35.97 states/eV/cell
crystal system = triclinic
E = -4.1136 eV/atom

a = 6.754 Å, b = 9.443 Å, c = 9.453 Å
α = 76.41°, β = 69.09°, γ = 69.07°
Positions (direct):
Pr (0.000, 0.000, 0.000)
Pr (0.500, 0.000, 0.000)
Dy (0.000, 0.000, 0.500)
Dy (0.000, 0.500, 0.000)
Dy (0.000, 0.500, 0.500)
Dy (0.500, 0.500, 0.500)
Ho (0.500, 0.000, 0.500)
Ho (0.500, 0.500, 0.000)
Tm (0.248, 0.252, 0.252)
Tm (0.249, 0.747, 0.252)
Tm (0.251, 0.252, 0.747)
Tm (0.252, 0.748, 0.748)
Tm (0.748, 0.252, 0.252)
Tm (0.749, 0.748, 0.253)
Tm (0.751, 0.253, 0.748)
Tm (0.752, 0.748, 0.748)

Question: What is the calculated volume in the fifth record?
Answer: 582 Å³/cell

Question: Which formula does entry 6 have?
Answer: PrDy2HoTm4

Question: Which of these has the highest calculated volume?
Answer: PrDy5HoTm2